Entry 1:
# MgIn2Ga4

A geometry-optimized MgIn2Ga4 structure (GGA-PBE, Alexandria via LeMat-Bulk).

Calculated values
ΔE to the lowest computed polymorph = 0.0 meV per atom
total energy = -2.7455 eV per atom
energy of formation from the pure elements = -0.006 eV per atom

Lattice parameters (Å, degrees): 4.1897 22.9751 3.1292 90.00 90.00 90.00
Closest atoms and distances in Å follow each position.
Space group Cmmm (No. 65)
Symmetry-distinct sites (fractional):
Mg 0.0000 0.0000 0.0000 (multiplicity 2)  10 Ga 2.91-3.00, 2 Mg 3.13
In 0.0000 0.3005 0.5000 (multiplicity 4)  5 Ga 3.10-3.11, 4 In 3.13
Ga 0.0000 0.1268 0.0000 (multiplicity 4)  1 Mg 2.91, 6 Ga 2.98-3.13, 4 In 3.10
Ga 0.0000 0.4357 0.5000 (multiplicity 4)  7 Ga 2.95-3.13, 4 Mg 3.00, 1 In 3.11

Entry 2:
# ErGa2I8

A geometry-optimized ErGa2I8 structure (GGA-PBE, Alexandria via LeMat-Bulk).

Calculated values
formation energy (no corrections) = -0.725 eV per atom
total energy = -2.8180 eV per atom

Lattice parameters (Å, degrees): 13.7503 11.5472 7.2113 90.00 100.70 90.00
Closest atoms and distances in Å follow each position.
Space group C2/m (No. 12)
Symmetry-distinct sites (fractional):
Er 0.0000 0.0000 0.0000 (multiplicity 2)  6 I 3.01-3.06
Ga 0.2006 0.0000 0.6716 (multiplicity 4)  4 I 2.59-2.75
I 0.0937 0.1783 0.7844 (multiplicity 8)  1 Ga 2.74, 1 Er 3.01
I 0.1161 0.5000 0.1598 (multiplicity 4)  1 Ga 2.59
I 0.1936 0.0000 0.2883 (multiplicity 4)  1 Ga 2.75, 1 Er 3.06